First-principles (PBE) data for crystalline Sm10Dy4Th at its relaxed geometry, as listed in Alexandria.

abc: 8.7122 8.7122 8.7122
angles: 111.58 111.58 105.34
Atoms (fractional coordinates):
Sm1 0.0433 0.9481 0.6737
Sm2 0.0519 0.7256 0.0953
Sm3 0.2500 0.7500 0.5000
Sm4 0.2744 0.3696 0.3263
Sm5 0.3696 0.0433 0.0953
Sm6 0.6304 0.9567 0.9047
Sm7 0.7256 0.6304 0.6737
Sm8 0.7500 0.2500 0.5000
Sm9 0.9481 0.2744 0.9047
Sm10 0.9567 0.0519 0.3263
Dy1 0.1675 0.5614 0.7289
Dy2 0.4386 0.1675 0.6061
Dy3 0.5614 0.8325 0.3939
Dy4 0.8325 0.4386 0.2711
Th1 0.5000 0.5000 0.0000

Summary:
* formation energy from the elements: 357 meV/atom